Computed, not measured: an optimized crystal structure of KNiBiTe3 at the PBE level of DFT.

Geometry as POSCAR:
```
KNiBiTe3
1.0
-4.940 -3.503 -5.330
3.563 -0.166 7.236
-9.196 5.873 4.663
Bi K Ni Te
2 2 2 6
direct
0.000 0.000 0.000 Bi
0.000 0.000 0.500 Bi
0.257 0.743 0.250 K
0.743 0.257 0.750 K
0.531 0.469 0.250 Ni
0.469 0.531 0.750 Ni
0.632 0.368 0.076 Te
0.940 0.060 0.250 Te
0.632 0.368 0.424 Te
0.368 0.632 0.576 Te
0.060 0.940 0.750 Te
0.368 0.632 0.924 Te
```

Properties
The magnetic moment comes out at 0.261 μB/atom.

***

Computed, not measured: an optimized crystal structure of KNpBi at the PBE level of DFT.

Geometry as POSCAR:
```
KNpBi
1.0
-1.589 -4.477 2.886
-4.372 0.306 3.420
-4.733 -2.608 -1.300
Bi K Np
1 1 1
direct
0.000 0.000 0.000 Bi
0.250 0.250 0.250 K
0.750 0.750 0.750 Np
```

Properties
The magnetic moment comes out at 1.663 μB/atom.

***

Computed, not measured: an optimized crystal structure of K2Bi2Pd3 at the PBE level of DFT.

Geometry as POSCAR:
```
K2Bi2Pd3
1.0
9.563 -5.435 0.530
6.425 -8.829 1.431
7.363 -7.611 -3.020
Bi K Pd
2 2 3
direct
0.002 0.002 0.002 Bi
0.505 0.505 0.505 Bi
0.250 0.250 0.250 K
0.756 0.756 0.756 K
0.351 0.351 0.351 Pd
0.657 0.657 0.657 Pd
0.853 0.853 0.853 Pd
```

***

Computed, not measured: an optimized crystal structure of K3RbBi2Pd2 at the PBE level of DFT.

Geometry as POSCAR:
```
K3RbBi2Pd2
1.0
6.708 0.000 0.000
0.000 6.280 0.000
-2.054 0.000 6.601
Bi K Pd Rb
2 3 2 1
direct
0.274 0.000 0.262 Bi
0.747 0.500 0.717 Bi
0.517 0.500 0.156 K
0.841 0.000 0.487 K
0.167 0.500 0.491 K
0.982 0.260 0.026 Pd
0.982 0.740 0.026 Pd
0.491 0.000 0.835 Rb
```

***

no.,calculated total energy (eV/atom)
1,-3.663
2,-5.593
3,-3.890
4,-3.111